No. 1
Material: La12Er3In
Method: DFT, PBE-GGA
State: optimized geometry

- V (Å³ per cell) = 551.45
- energy relative to the elements (meV/atom) = -61
- DFT total energy (eV per atom) = -4.78

Cell: 5.1516 5.1516 20.7791 Å, 90.00 90.00 90.00°
Closest atoms and distances in Å follow each position.
Fractional positions:
La 0.0000 0.0000 0.0000  8 La 3.61, 4 In 3.64
La 0.0000 0.0000 0.2494  4 Er 3.64, 8 La 3.66-3.69
La 0.0000 0.0000 0.5000  4 Er 3.64, 8 La 3.67
La 0.0000 0.0000 0.7506  4 Er 3.64, 8 La 3.66-3.69
La 0.0000 0.5000 0.1220  8 La 3.61-3.69, 2 In 3.61, 2 Er 3.68
La 0.0000 0.5000 0.3744  8 La 3.64-3.67, 4 Er 3.67
La 0.0000 0.5000 0.6256  8 La 3.64-3.67, 4 Er 3.67
La 0.0000 0.5000 0.8780  8 La 3.61-3.69, 2 In 3.61, 2 Er 3.68
La 0.5000 0.0000 0.1220  8 La 3.61-3.69, 2 In 3.61, 2 Er 3.68
La 0.5000 0.0000 0.3744  8 La 3.64-3.67, 4 Er 3.67
La 0.5000 0.0000 0.6256  8 La 3.64-3.67, 4 Er 3.67
La 0.5000 0.0000 0.8780  8 La 3.61-3.69, 2 In 3.61, 2 Er 3.68
Er 0.5000 0.5000 0.2487  12 La 3.64-3.68
Er 0.5000 0.5000 0.5000  12 La 3.64-3.67
Er 0.5000 0.5000 0.7513  12 La 3.64-3.68
In 0.5000 0.5000 0.0000  12 La 3.61-3.64



No. 2
Material: CaPr4Er3S8
Method: DFT, PBE-GGA
State: optimized geometry

- V (Å³ per cell) = 363.25
- ΔE_f (raw) (kJ/mol of formula units) = -3099
- DFT total energy (eV per atom) = -6.25

Cell: 8.1083 8.1083 8.1083 Å, 58.41 58.41 58.41°
Closest atoms and distances in Å follow each position.
Fractional positions:
Ca 0.0000 0.0000 0.0000  6 S 2.77
Pr 0.0000 0.0000 0.5000  6 S 2.93
Pr 0.0000 0.5000 0.0000  6 S 2.93
Pr 0.5000 0.0000 0.0000  6 S 2.93
Pr 0.5000 0.5000 0.5000  6 S 2.90
Er 0.0000 0.5000 0.5000  6 S 2.74
Er 0.5000 0.0000 0.5000  6 S 2.74
Er 0.5000 0.5000 0.0000  6 S 2.74
S 0.2448 0.2448 0.7393  2 Er 2.74, 1 Ca 2.77, 3 Pr 2.90-2.93
S 0.2448 0.7393 0.2448  2 Er 2.74, 1 Ca 2.77, 3 Pr 2.90-2.93
S 0.2578 0.2578 0.2578  3 Er 2.74, 3 Pr 2.93
S 0.2607 0.7552 0.7552  2 Er 2.74, 1 Ca 2.77, 3 Pr 2.90-2.93
S 0.7393 0.2448 0.2448  2 Er 2.74, 1 Ca 2.77, 3 Pr 2.90-2.93
S 0.7422 0.7422 0.7422  3 Er 2.74, 3 Pr 2.93
S 0.7552 0.2607 0.7552  2 Er 2.74, 1 Ca 2.77, 3 Pr 2.90-2.93
S 0.7552 0.7552 0.2607  2 Er 2.74, 1 Ca 2.77, 3 Pr 2.90-2.93



No. 3
Material: ErPaCdHg
Method: DFT, PBE-GGA
State: optimized geometry

- V (Å³ per cell) = 103.49
- energy relative to the elements (meV/atom) = 33
- DFT total energy (eV per atom) = -3.79

Cell: 5.2699 5.2699 5.2699 Å, 60.00 60.00 60.00°
Closest atoms and distances in Å follow each position.
Fractional positions:
Er 0.0000 0.0000 0.0000  4 Cd 3.23, 4 Hg 3.23
Pa 0.5000 0.5000 0.5000  4 Hg 3.23, 4 Cd 3.23
Cd 0.7500 0.7500 0.7500  4 Pa 3.23, 4 Er 3.23
Hg 0.2500 0.2500 0.2500  4 Pa 3.23, 4 Er 3.23



No. 4
Material: MnSn
Method: DFT, PBE-GGA
State: optimized geometry

- V (Å³ per cell) = 76.67
- energy relative to the elements (meV/atom) = 278
- DFT total energy (eV per atom) = -6.31

Cell: 3.0789 5.3476 4.6564 Å, 90.00 90.00 90.00°
Closest atoms and distances in Å follow each position.
Fractional positions:
Mn 0.2500 0.2500 0.1253  6 Sn 2.75-2.90, 2 Mn 3.08
Mn 0.7500 0.7500 0.8747  6 Sn 2.75-2.90, 2 Mn 3.08
Sn 0.2500 0.7500 0.3639  6 Mn 2.75-2.90, 2 Sn 3.08
Sn 0.7500 0.2500 0.6361  6 Mn 2.75-2.90, 2 Sn 3.08



No. 5
Material: Tb2TlH
Method: DFT, PBE-GGA
State: optimized geometry

- V (Å³ per cell) = 89.32
- ΔE to the lowest computed polymorph (meV per atom) = 176.2
- DFT total energy (eV per atom) = -4.03

Cell: 8.2411 8.2411 8.2411 Å, 25.20 25.20 25.20°
Closest atoms and distances in Å follow each position.
Fractional positions:
Tb 0.0000 0.0000 0.0000  3 H 2.48
Tb 0.2192 0.2192 0.2192  3 H 2.50
Tl 0.4431 0.4431 0.4431  6 Tb 3.34-3.35, 6 Tl 3.60
H 0.6104 0.6104 0.6104  6 Tb 2.48-2.50



No. 6
Material: Pt2AuSe
Method: DFT, PBE-GGA
State: optimized geometry

- V (Å³ per cell) = 70.22
- ΔE_f (raw) (kJ/mol of formula units) = 72
- DFT total energy (eV per atom) = -4.52

Cell: 2.8861 2.8861 8.4313 Å, 90.00 90.00 90.75°
Closest atoms and distances in Å follow each position.
Fractional positions:
Pt 0.0000 0.0000 0.0000  8 Pt 2.82-2.89, 4 Au 2.89-2.91
Pt 0.5000 0.5000 0.2330  4 Se 2.74-2.75, 8 Pt 2.82-2.89
Au 0.5000 0.5000 0.7550  4 Au 2.89, 4 Pt 2.89-2.91
Se 0.0000 0.0000 0.4507  4 Pt 2.74-2.75, 4 Se 2.89